Compound: TaSb2TeIr
Source: Alexandria
Functional: PBE
Structure: optimized geometry

It has space group P4/mmm (No. 123), with a = 5.0545 Å, b = 5.0545 Å, c = 5.2582 Å, α = 90.00°, β = 90.00° and γ = 90.00°. The inequivalent atoms are Ta at (0.0000, 0.0000, 0.0000), Sb at (0.0000, 0.5000, 0.5000), Te at (0.5000, 0.5000, 0.0000) and Ir at (0.5000, 0.5000, 0.5000).

The value obtained for the total DFT energy (no corrections) is -26.471 eV/cell. The polymorph energy (0 for the lowest one) is 0.0 meV per atom. Its energy relative to the elements, uncorrected is 108.63 kJ/mol of atoms. The total moment is 0.002 μB per cell.


Compound: TaSb2TeIr
Source: Alexandria
Functional: PBE
Structure: optimized geometry

It has space group P4/mmm (No. 123), with a = 5.2820 Å, b = 5.2820 Å, c = 5.2101 Å, α = 90.00°, β = 90.00° and γ = 90.00°. The inequivalent atoms are Ta at (0.0000, 0.0000, 0.0000), Sb at (0.0000, 0.5000, 0.0000), Te at (0.0000, 0.0000, 0.5000) and Ir at (0.5000, 0.5000, 0.5000).

The value obtained for the total DFT energy (no corrections) is -25.965 eV/cell. The polymorph energy (0 for the lowest one) is 101.2 meV per atom. Its energy relative to the elements, uncorrected is 118.39 kJ/mol of atoms. The total moment is 0.842 μB per cell.


Compound: Tb6Sb2Ir
Source: Alexandria
Functional: PBE
Structure: optimized geometry

It has space group P4_2/mnm (No. 136), with a = 6.8487 Å, b = 6.8487 Å, c = 13.4696 Å, α = 90.00°, β = 90.00° and γ = 90.00°. The inequivalent atoms are Tb at (0.1882, 0.1882, 0.1517), Tb at (0.2189, 0.2189, 0.5000), Sb at (0.0000, 0.0000, 0.3342) and Ir at (0.0000, 0.0000, 0.0000).

The value obtained for the total DFT energy (no corrections) is -97.895 eV/cell. Its energy relative to the elements, uncorrected is -43.53 kJ/mol of atoms. The total moment is 0.002 μB per cell.


Compound: Tb4SbIr2
Source: Alexandria
Functional: PBE
Structure: optimized geometry

It has space group Imma (No. 74), with a = 9.1768 Å, b = 9.1816 Å, c = 9.6500 Å, α = 90.00°, β = 90.00° and γ = 90.00°. The inequivalent atoms are Tb at (0.0000, 0.0650, 0.2241), Tb at (0.1851, 0.2500, 0.5260), Sb at (0.0000, 0.2500, 0.8746), Ir at (0.0000, 0.0000, 0.5000) and Ir at (0.2500, 0.2500, 0.2500).

The value obtained for the total DFT energy (no corrections) is -180.144 eV/cell. Its energy relative to the elements, uncorrected is -64.38 kJ/mol of atoms. The total moment is 0.000 μB per cell.


Compound: Tb4Sb2Ir
Source: Alexandria
Functional: PBE
Structure: optimized geometry

It has space group C2/m (No. 12), with a = 11.5406 Å, b = 4.4192 Å, c = 8.7200 Å, α = 90.00°, β = 119.96° and γ = 90.00°. The inequivalent atoms are Tb at (0.0706, 0.0000, 0.3522), Tb at (0.1654, 0.5000, 0.0568), Sb at (0.1531, 0.5000, 0.6612) and Ir at (0.0000, 0.0000, 0.0000).

The value obtained for the total DFT energy (no corrections) is -83.080 eV/cell. Its energy relative to the elements, uncorrected is -81.51 kJ/mol of atoms. The total moment is 0.000 μB per cell.


Compound: Tb8SbIr2
Source: Alexandria
Functional: PBE
Structure: optimized geometry

It has space group C2/m (No. 12), with a = 8.5843 Å, b = 13.0039 Å, c = 5.6918 Å, α = 90.00°, β = 102.27° and γ = 90.00°. The inequivalent atoms are Tb at (0.0000, 0.2468, 0.0000), Tb at (0.1146, 0.5000, 0.7932), Tb at (0.2018, 0.1310, 0.6003), Sb at (0.0000, 0.0000, 0.0000) and Ir at (0.0000, 0.3106, 0.5000).

The value obtained for the total DFT energy (no corrections) is -128.827 eV/cell. Its energy relative to the elements, uncorrected is -48.48 kJ/mol of atoms. The total moment is 0.000 μB per cell.


Compound: Tb7Sb2Ir2
Source: Alexandria
Functional: PBE
Structure: optimized geometry

It has space group Cmmm (No. 65), with a = 8.7380 Å, b = 10.5885 Å, c = 7.1242 Å, α = 90.00°, β = 90.00° and γ = 90.00°. The inequivalent atoms are Tb at (0.0000, 0.0000, 0.0000), Tb at (0.0000, 0.5000, 0.2336), Tb at (0.2500, 0.2500, 0.2437), Sb at (0.2070, 0.0000, 0.5000) and Ir at (0.0000, 0.2778, 0.0000).

The value obtained for the total DFT energy (no corrections) is -130.797 eV/cell. Its energy relative to the elements, uncorrected is -61.57 kJ/mol of atoms. The total moment is 0.000 μB per cell.


Compound: Tb5SbIr2
Source: Alexandria
Functional: PBE
Structure: optimized geometry

It has space group I4/mcm (No. 140), with a = 7.8432 Å, b = 7.8432 Å, c = 13.3769 Å, α = 90.00°, β = 90.00° and γ = 90.00°. The inequivalent atoms are Tb at (0.0000, 0.0000, 0.0000), Tb at (0.1577, 0.3423, 0.1344), Sb at (0.0000, 0.0000, 0.2500) and Ir at (0.1391, 0.3609, 0.5000).

The value obtained for the total DFT energy (no corrections) is -206.290 eV/cell. Its energy relative to the elements, uncorrected is -79.32 kJ/mol of atoms. The total moment is 0.000 μB per cell.